(1)
Entry from the Alexandria database: a relaxed Pr2Ni4C crystal (PBE-GGA).

## Properties
ΔH_f (0 K) in eV/atom: -0.022

Geometry as POSCAR:
```
Pr2Ni4C
1.0
-4.627 0.650 2.087
-2.063 -2.888 -3.686
3.979 -2.614 3.371
Pr Ni C
2 4 1
Direct
0.750 0.250 0.500
0.250 0.750 0.500
0.742 0.259 0.000
0.259 0.741 0.000
0.259 0.259 0.000
0.741 0.741 0.000
0.000 0.000 0.000
```

(2)
Entry from the Alexandria database: a relaxed PrNi3C crystal (PBE-GGA).

## Properties
ΔH_f (0 K) in eV/atom: 0.100

Geometry as POSCAR:
```
PrNi3C
1.0
-4.040 2.808 0.371
-2.336 -2.768 -4.485
-0.861 -1.947 5.357
Pr Ni C
2 6 2
Direct
0.750 0.667 0.333
0.250 0.333 0.667
0.750 0.696 0.848
0.250 0.848 0.696
0.250 0.304 0.152
0.750 0.152 0.304
0.250 0.848 0.152
0.750 0.152 0.848
0.000 0.000 0.000
0.500 0.000 0.000
```

| no. | electronic total energy (eV/atom) |
| --- | --- |
| 1 | -6.009 |
| 2 | -6.170 |